# SCAN FeAgP3, PBEsol geometry
data_FeAgP3
_symmetry_space_group_name_H-M 'P m -3 m'
_symmetry_Int_Tables_number 221
_symmetry_space_group_name_Hall '-P 4 2 3'
_cell_length_a 4.683
_cell_length_b 4.683
_cell_length_c 4.683
_cell_angle_alpha 90.00
_cell_angle_beta 90.00
_cell_angle_gamma 90.00
loop_
_atom_site_label
_atom_site_type_symbol
_atom_site_fract_x
_atom_site_fract_y
_atom_site_fract_z
Fe1 Fe 0.000 0.000 0.000
Ag1 Ag 0.500 0.500 0.500
P1 P 0.000 0.500 0.500
# Total magnetic moment, μB/cell: 3.51
# Energy of formation, eV/atom: 1.593